No. 1
Below is an optimized crystal structure of SiMoRu2, with properties calculated at the PBE-GGA level.

```
4
Lattice="2.885 0.000 0.000 0.000 2.885 0.000 0.000 0.000 6.593" Properties=species:S:1:pos:R:3 pbc="T T T"
Si 0.000 0.000 0.000
Mo 0.000 0.000 3.296
Ru 1.443 1.443 1.444
Ru 1.443 1.443 5.149
```

## Properties
Calculated total energy (eV per atom): -9.067
Symmetry: P4/mmm
Uncorrected formation energy (eV/f.u.): -1.46


No. 2
Below is an optimized crystal structure of Sc4GaCu, with properties calculated at the PBE-GGA level.

```
6
Lattice="4.553 0.000 0.000 0.000 4.553 0.000 0.000 0.000 6.593" Properties=species:S:1:pos:R:3 pbc="T T T"
Sc 0.000 2.277 1.583
Sc 0.000 2.277 5.010
Sc 2.277 0.000 1.583
Sc 2.277 0.000 5.010
Ga 0.000 0.000 3.297
Cu 2.277 2.277 0.000
```

## Properties
Energy above the most stable polymorph in this dataset (meV/atom): 181
Calculated total energy (eV per atom): -5.504
Symmetry: P4/mmm
Energy relative to the elements (eV/atom): -0.10


No. 3
Below is an optimized crystal structure of SiMoSe2, with properties calculated at the PBE-GGA level.

```
4
Lattice="3.203 0.000 0.000 0.000 3.203 0.000 0.000 0.000 7.476" Properties=species:S:1:pos:R:3 pbc="T T T"
Si 0.000 0.000 0.000
Mo 1.602 1.602 1.355
Se 0.000 0.000 2.867
Se 1.602 1.602 6.166
```

## Properties
Calculated total energy (eV per atom): -5.968
Symmetry: P4mm
Uncorrected formation energy (eV/f.u.): -0.65


No. 4
Below is an optimized crystal structure of YPuHgOs, with properties calculated at the PBE-GGA level.

```
4
Lattice="0.000 3.558 3.558 3.558 0.000 3.558 3.558 3.558 0.000" Properties=species:S:1:pos:R:3 pbc="T T T"
Y 0.000 0.000 0.000
Pu 3.558 3.558 3.558
Hg 1.779 1.779 1.779
Os 5.337 5.337 5.337
```

## Properties
Energy above the most stable polymorph in this dataset (meV/atom): 167
Calculated total energy (eV per atom): -8.125
Symmetry: F-43m
Energy relative to the elements (eV/atom): -0.04


No. 5
Below is an optimized crystal structure of BAu2Se2, with properties calculated at the PBE-GGA level.

```
5
Lattice="-1.933 1.933 6.900 1.933 -1.933 6.900 1.933 1.933 -6.900" Properties=species:S:1:pos:R:3 pbc="T T T"
B 0.000 0.000 0.000
Au 1.933 0.000 3.450
Au 0.000 1.933 3.450
Se 0.000 0.000 5.546
Se 0.000 0.000 8.254
```

## Properties
Energy above the most stable polymorph in this dataset (meV/atom): 397
Calculated total energy (eV per atom): -3.020
Symmetry: I4/mmm
Uncorrected formation energy (eV/f.u.): 5.10


No. 6
Below is an optimized crystal structure of ZrRe2NiCl, with properties calculated at the PBE-GGA level.

```
5
Lattice="4.436 0.000 0.000 0.000 4.436 0.000 0.000 0.000 4.180" Properties=species:S:1:pos:R:3 pbc="T T T"
Zr 0.000 0.000 0.000
Re 0.000 2.218 2.090
Re 2.218 0.000 2.090
Ni 2.218 2.218 0.000
Cl 2.218 2.218 2.090
```

## Properties
Calculated total energy (eV per atom): -7.220
Symmetry: P4/mmm
Uncorrected formation energy (eV/f.u.): 4.97